No. 1
Here is an optimized crystal structure of RbTiH from the Alexandria database. Energies are from GGA-PBE.

Cell: 12.803 3.401 5.760 Å, 90.00 90.00 90.00°
Atoms (fractional coordinates):
Rb  0.148  0.000  0.000
Rb  0.148  0.500  0.500
Rb  0.852  0.000  0.000
Rb  0.852  0.500  0.500
Ti  0.409  0.000  0.448
Ti  0.409  0.500  0.948
Ti  0.591  0.000  0.448
Ti  0.591  0.500  0.948
H  0.000  0.000  0.342
H  0.000  0.500  0.842
H  0.500  0.000  0.116
H  0.500  0.500  0.616

Output
spin magnetization: 1.57 μB per formula unit
space group: Amm2, No. 38
N(E_F): 9.953 states/eV/cell

***

No. 2
Here is an optimized crystal structure of La2GaNiS5 from the Alexandria database. Energies are from GGA-PBE.

Cell: 8.850 8.850 11.644 Å, 90.00 90.00 154.61°
Atoms (fractional coordinates):
La  0.114  0.886  0.500
La  0.137  0.863  0.119
La  0.863  0.137  0.619
La  0.886  0.114  0.000
Ga  0.429  0.571  0.270
Ga  0.571  0.429  0.770
Ni  0.245  0.755  0.900
Ni  0.755  0.245  0.400
S  0.044  0.956  0.876
S  0.290  0.710  0.470
S  0.318  0.682  0.162
S  0.359  0.641  0.813
S  0.495  0.505  0.602
S  0.505  0.495  0.102
S  0.641  0.359  0.313
S  0.682  0.318  0.662
S  0.710  0.290  0.970
S  0.956  0.044  0.376

Output
spin magnetization: 0.97 μB per formula unit
space group: Cmc2_1, No. 36
ΔE_f (raw): -1198 kJ/mol of formula units
N(E_F): 7.438 states/eV/cell

***

No. 3
Here is an optimized crystal structure of U2SnPd8 from the Alexandria database. Energies are from GGA-PBE.

Cell: 7.998 7.998 5.148 Å, 107.94 107.94 124.17°
Atoms (fractional coordinates):
U  0.181  0.819  0.000
U  0.819  0.181  0.000
Sn  0.500  0.500  0.500
Pd  0.054  0.054  0.297
Pd  0.121  0.398  0.785
Pd  0.308  0.692  0.500
Pd  0.398  0.121  0.785
Pd  0.602  0.879  0.215
Pd  0.692  0.308  0.500
Pd  0.879  0.602  0.215
Pd  0.946  0.946  0.703

Output
spin magnetization: 3.45 μB per formula unit
space group: C2/m, No. 12
N(E_F): 15.495 states/eV/cell

***

No. 4
Here is an optimized crystal structure of Y2RuBr from the Alexandria database. Energies are from GGA-PBE.

Cell: 3.493 3.441 8.336 Å, 90.00 90.06 90.00°
Atoms (fractional coordinates):
Y  0.001  0.000  0.199
Y  0.999  0.000  0.801
Ru  0.500  0.500  0.000
Br  0.000  0.500  0.500

Output
spin magnetization: 0.00 μB per formula unit
ΔE to the lowest computed polymorph: 0.0 kJ/mol of formula units
space group: P2/m, No. 10
ΔE_f (raw): -307 kJ/mol of formula units
N(E_F): 1.908 states/eV/cell

***

No. 5
Here is an optimized crystal structure of TaTl2 from the Alexandria database. Energies are from GGA-PBE.

Cell: 5.216 5.216 5.929 Å, 90.00 90.00 120.00°
Atoms (fractional coordinates):
Ta  0.333  0.667  0.250
Ta  0.667  0.333  0.750
Tl  0.000  0.000  0.000
Tl  0.000  0.000  0.500
Tl  0.333  0.667  0.750
Tl  0.667  0.333  0.250

Output
spin magnetization: 0.00 μB per formula unit
ΔE to the lowest computed polymorph: 154.1 kJ/mol of formula units
space group: P6_3/mmc, No. 194
N(E_F): 4.920 states/eV/cell

***

No. 6
Here is an optimized crystal structure of CaMg14Bi from the Alexandria database. Energies are from GGA-PBE.

Cell: 10.570 6.594 6.594 Å, 57.87 90.00 90.00°
Atoms (fractional coordinates):
Ca  0.000  0.000  0.000
Mg  0.000  0.003  0.496
Mg  0.000  0.496  0.003
Mg  0.248  0.667  0.667
Mg  0.256  0.166  0.166
Mg  0.261  0.159  0.663
Mg  0.261  0.663  0.159
Mg  0.500  0.002  0.002
Mg  0.500  0.502  0.998
Mg  0.500  0.503  0.503
Mg  0.500  0.998  0.502
Mg  0.739  0.159  0.663
Mg  0.739  0.663  0.159
Mg  0.744  0.166  0.166
Mg  0.752  0.667  0.667
Bi  0.000  0.494  0.494

Output
spin magnetization: 0.00 μB per formula unit
ΔE to the lowest computed polymorph: 0.0 kJ/mol of formula units
space group: Amm2, No. 38
N(E_F): 8.214 states/eV/cell

***

No. 7
Here is an optimized crystal structure of TbSmCuIr from the Alexandria database. Energies are from GGA-PBE.

Cell: 4.353 3.896 10.522 Å, 90.00 90.00 90.00°
Atoms (fractional coordinates):
Tb  0.000  0.000  0.000
Tb  0.000  0.500  0.500
Sm  0.500  0.000  0.278
Sm  0.500  0.500  0.778
Cu  0.000  0.000  0.710
Cu  0.000  0.500  0.210
Ir  0.500  0.000  0.559
Ir  0.500  0.500  0.059

Output
spin magnetization: 0.00 μB per formula unit
ΔE to the lowest computed polymorph: 0.0 kJ/mol of formula units
space group: Amm2, No. 38
N(E_F): 5.861 states/eV/cell

***

No. 8
Here is an optimized crystal structure of B2RuI2 from the Alexandria database. Energies are from GGA-PBE.

Cell: 5.094 5.094 6.421 Å, 90.00 90.00 90.00°
Atoms (fractional coordinates):
B  0.000  0.000  0.131
B  0.000  0.000  0.869
B  0.500  0.500  0.369
B  0.500  0.500  0.631
Ru  0.000  0.000  0.500
Ru  0.500  0.500  0.000
I  0.000  0.500  0.250
I  0.000  0.500  0.750
I  0.500  0.000  0.250
I  0.500  0.000  0.750

Output
spin magnetization: 0.04 μB per formula unit
ΔE to the lowest computed polymorph: 0.0 kJ/mol of formula units
space group: I4/mmm, No. 139
ΔE_f (raw): 653 kJ/mol of formula units
N(E_F): 7.964 states/eV/cell

***

Calculated calculated total energy (eV/atom), listed in the same order as above: -3.5327 -5.7462 -6.5434 -6.7635 -4.5277 -1.8050 -6.1174 -3.7919